Record 1
# HfSnBiO6 (GGA-PBE, optimized geometry)
data_HfSnBiO6
_cell_length_a 4.9509
_cell_length_b 4.9509
_cell_length_c 10.0878
_cell_angle_alpha 90.00
_cell_angle_beta 90.00
_cell_angle_gamma 90.00
_space_group_name_H-M_alt 'P 42 n m'
_space_group_IT_number 102
loop_
_space_group_symop_operation_xyz
'x,y,z'
'-y+1/2,x+1/2,z+1/2'
'-x,-y,z'
'y+1/2,-x+1/2,z+1/2'
'-x+1/2,y+1/2,z+1/2'
'y,x,z'
'x+1/2,-y+1/2,z+1/2'
'-y,-x,z'
loop_
_atom_site_label
_atom_site_fract_x
_atom_site_fract_y
_atom_site_fract_z
Hf1 0.0000 0.0000 0.0000
Sn1 0.0000 0.0000 0.6609
Bi1 0.0000 0.0000 0.3306
O1 0.1790 0.1790 0.8288
O2 0.2002 0.2002 0.5064
O3 0.2012 0.2012 0.1499
# ρ = 8.09 Mg/m³
# Total magnetic moment = 0.0 μB/cell
# Crystal system = tetragonal
# E_form (uncorrected) = -2.008 eV per atom

***

Record 2
# CaSi3Ir (GGA-PBE, optimized geometry)
data_CaSi3Ir
_cell_length_a 7.5111
_cell_length_b 6.2993
_cell_length_c 8.5240
_cell_angle_alpha 90.00
_cell_angle_beta 115.15
_cell_angle_gamma 90.00
_space_group_name_H-M_alt 'P 1 21/c 1'
_space_group_IT_number 14
loop_
_space_group_symop_operation_xyz
'x,y,z'
'-x,-y,-z'
'-x,y+1/2,-z+1/2'
'x,-y+1/2,z+1/2'
loop_
_atom_site_label
_atom_site_fract_x
_atom_site_fract_y
_atom_site_fract_z
Ca1 0.1334 0.0659 0.2208
Si1 0.1463 0.5827 0.1096
Si2 0.3064 0.0421 0.9379
Si3 0.4361 0.1625 0.6595
Ir1 0.4319 0.6977 0.0566
# ρ = 5.76 Mg/m³
# Total magnetic moment = 0.0 μB/cell
# Crystal system = monoclinic
# E_form (uncorrected) = -0.459 eV per atom